! LaCdSi2 (PBE, relaxed); values from VASP
! - Theoretical density: 5.02 Mg/m³
! - Formation energy from raw total energies: -0.14 eV/f.u.
! - Space-group type: No. 122
! - Fermi-level density of states: 2.1 states/eV/f.u.
&SYSTEM
  ibrav = 0, nat = 8, ntyp = 3
/
ATOMIC_SPECIES
La 138.91 La.upf
Cd 112.41 Cd.upf
Si 28.09 Si.upf
ATOMIC_POSITIONS crystal
La 0.000 0.000 0.000
La 0.750 0.250 0.500
Cd 0.250 0.750 0.500
Cd 0.500 0.500 0.000
Si 0.257 0.625 0.132
Si 0.375 0.507 0.632
Si 0.493 0.125 0.868
Si 0.875 0.743 0.368
CELL_PARAMETERS angstrom
-2.391 2.391 8.900
2.391 -2.391 8.900
2.391 2.391 -8.900